Entry 1:
The following is a DFT calculation (GGA-PBE) of crystalline CuGeBi at its relaxed geometry.

a = 6.7201 Å, b = 6.7201 Å, c = 6.7201 Å
α = 90.00°, β = 90.00°, γ = 90.00°
Last column: nearest neighbours and their distance in Å.
Fractional positions:
1 Cu 0.0000 0.0000 0.0000  4 Bi 2.91
2 Cu 0.0000 0.5000 0.5000  4 Bi 2.91
3 Cu 0.5000 0.0000 0.5000  4 Bi 2.91
4 Cu 0.5000 0.5000 0.0000  4 Bi 2.91
5 Ge 0.0000 0.0000 0.5000  4 Bi 2.91
6 Ge 0.0000 0.5000 0.0000  4 Bi 2.91
7 Ge 0.5000 0.0000 0.0000  4 Bi 2.91
8 Ge 0.5000 0.5000 0.5000  4 Bi 2.91
9 Bi 0.2500 0.2500 0.2500  4 Cu 2.91, 4 Ge 2.91
10 Bi 0.2500 0.7500 0.7500  4 Cu 2.91, 4 Ge 2.91
11 Bi 0.7500 0.2500 0.7500  4 Cu 2.91, 4 Ge 2.91
12 Bi 0.7500 0.7500 0.2500  4 Ge 2.91, 4 Cu 2.91

Entry 2:
The following is a DFT calculation (GGA-PBE) of crystalline CuGe2Bi at its relaxed geometry.

a = 6.9191 Å, b = 6.9191 Å, c = 6.9191 Å
α = 90.00°, β = 90.00°, γ = 90.00°
Last column: nearest neighbours and their distance in Å.
Fractional positions:
1 Cu 0.0000 0.0000 0.0000  4 Ge 3.00, 4 Bi 3.00
2 Cu 0.0000 0.5000 0.5000  4 Ge 3.00, 4 Bi 3.00
3 Cu 0.5000 0.0000 0.5000  4 Ge 3.00, 4 Bi 3.00
4 Cu 0.5000 0.5000 0.0000  4 Ge 3.00, 4 Bi 3.00
5 Ge 0.0000 0.0000 0.5000  4 Ge 3.00, 4 Bi 3.00
6 Ge 0.0000 0.5000 0.0000  4 Ge 3.00, 4 Bi 3.00
7 Ge 0.2500 0.2500 0.2500  4 Ge 3.00, 4 Cu 3.00
8 Ge 0.2500 0.7500 0.7500  4 Ge 3.00, 4 Cu 3.00
9 Ge 0.5000 0.0000 0.0000  4 Ge 3.00, 4 Bi 3.00
10 Ge 0.5000 0.5000 0.5000  4 Bi 3.00, 4 Ge 3.00
11 Ge 0.7500 0.2500 0.7500  4 Ge 3.00, 4 Cu 3.00
12 Ge 0.7500 0.7500 0.2500  4 Ge 3.00, 4 Cu 3.00
13 Bi 0.2500 0.2500 0.7500  4 Ge 3.00, 4 Cu 3.00
14 Bi 0.2500 0.7500 0.2500  4 Ge 3.00, 4 Cu 3.00
15 Bi 0.7500 0.2500 0.2500  4 Ge 3.00, 4 Cu 3.00
16 Bi 0.7500 0.7500 0.7500  4 Ge 3.00, 4 Cu 3.00

Entry 3:
The following is a DFT calculation (GGA-PBE) of crystalline Li4Cu2GeBi at its relaxed geometry.

a = 4.3685 Å, b = 4.3685 Å, c = 6.3435 Å
α = 90.00°, β = 90.00°, γ = 90.00°
Last column: nearest neighbours and their distance in Å.
Fractional positions:
1 Li 0.0000 0.0000 0.0000  4 Cu 2.58, 4 Li 2.60
2 Li 0.0000 0.5000 0.2235  2 Ge 2.60, 4 Li 2.60-2.80, 1 Cu 2.78, 2 Bi 2.80
3 Li 0.5000 0.0000 0.7765  2 Ge 2.60, 4 Li 2.60-2.80, 1 Cu 2.78, 2 Bi 2.80
4 Li 0.5000 0.5000 0.5000  4 Li 2.80, 4 Cu 2.84, 4 Bi 3.09
5 Cu 0.0000 0.5000 0.7849  2 Ge 2.58, 5 Li 2.58-2.84, 2 Bi 2.84
6 Cu 0.5000 0.0000 0.2151  2 Ge 2.58, 5 Li 2.58-2.84, 2 Bi 2.84
7 Ge 0.5000 0.5000 0.0000  4 Cu 2.58, 4 Li 2.60
8 Bi 0.0000 0.0000 0.5000  8 Li 2.80-3.09, 4 Cu 2.84

Entry 4:
The following is a DFT calculation (GGA-PBE) of crystalline CuGeBiOs at its relaxed geometry.

a = 6.5811 Å, b = 6.5811 Å, c = 6.5811 Å
α = 90.00°, β = 90.00°, γ = 90.00°
Last column: nearest neighbours and their distance in Å.
Fractional positions:
1 Cu 0.0000 0.0000 0.0000  4 Os 2.85, 4 Bi 2.85
2 Cu 0.0000 0.5000 0.5000  4 Bi 2.85, 4 Os 2.85
3 Cu 0.5000 0.0000 0.5000  4 Bi 2.85, 4 Os 2.85
4 Cu 0.5000 0.5000 0.0000  4 Bi 2.85, 4 Os 2.85
5 Ge 0.0000 0.0000 0.5000  4 Bi 2.85, 4 Os 2.85
6 Ge 0.0000 0.5000 0.0000  4 Bi 2.85, 4 Os 2.85
7 Ge 0.5000 0.0000 0.0000  4 Bi 2.85, 4 Os 2.85
8 Ge 0.5000 0.5000 0.5000  4 Bi 2.85, 4 Os 2.85
9 Bi 0.2500 0.2500 0.2500  4 Ge 2.85, 4 Cu 2.85
10 Bi 0.2500 0.7500 0.7500  4 Ge 2.85, 4 Cu 2.85
11 Bi 0.7500 0.2500 0.7500  4 Ge 2.85, 4 Cu 2.85
12 Bi 0.7500 0.7500 0.2500  4 Ge 2.85, 4 Cu 2.85
13 Os 0.2500 0.2500 0.7500  4 Ge 2.85, 4 Cu 2.85
14 Os 0.2500 0.7500 0.2500  4 Ge 2.85, 4 Cu 2.85
15 Os 0.7500 0.2500 0.2500  4 Ge 2.85, 4 Cu 2.85
16 Os 0.7500 0.7500 0.7500  4 Cu 2.85, 4 Ge 2.85

Entry 5:
The following is a DFT calculation (GGA-PBE) of crystalline CuGeBiOs at its relaxed geometry.

a = 6.5448 Å, b = 6.5448 Å, c = 6.5448 Å
α = 90.00°, β = 90.00°, γ = 90.00°
Last column: nearest neighbours and their distance in Å.
Fractional positions:
1 Cu 0.0000 0.0000 0.0000  4 Ge 2.83, 4 Bi 2.83
2 Cu 0.0000 0.5000 0.5000  4 Ge 2.83, 4 Bi 2.83
3 Cu 0.5000 0.0000 0.5000  4 Ge 2.83, 4 Bi 2.83
4 Cu 0.5000 0.5000 0.0000  4 Ge 2.83, 4 Bi 2.83
5 Ge 0.2500 0.2500 0.2500  4 Os 2.83, 4 Cu 2.83
6 Ge 0.2500 0.7500 0.7500  4 Os 2.83, 4 Cu 2.83
7 Ge 0.7500 0.2500 0.7500  4 Os 2.83, 4 Cu 2.83
8 Ge 0.7500 0.7500 0.2500  4 Os 2.83, 4 Cu 2.83
9 Bi 0.2500 0.2500 0.7500  4 Os 2.83, 4 Cu 2.83
10 Bi 0.2500 0.7500 0.2500  4 Os 2.83, 4 Cu 2.83
11 Bi 0.7500 0.2500 0.2500  4 Os 2.83, 4 Cu 2.83
12 Bi 0.7500 0.7500 0.7500  4 Os 2.83, 4 Cu 2.83
13 Os 0.0000 0.0000 0.5000  4 Bi 2.83, 4 Ge 2.83
14 Os 0.0000 0.5000 0.0000  4 Bi 2.83, 4 Ge 2.83
15 Os 0.5000 0.0000 0.0000  4 Bi 2.83, 4 Ge 2.83
16 Os 0.5000 0.5000 0.5000  4 Bi 2.83, 4 Ge 2.83

Entry 6:
The following is a DFT calculation (GGA-PBE) of crystalline HfCuBi2 at its relaxed geometry.

a = 7.2842 Å, b = 7.2842 Å, c = 7.2842 Å
α = 90.00°, β = 90.00°, γ = 90.00°
Last column: nearest neighbours and their distance in Å.
Fractional positions:
1 Hf 0.0000 0.0000 0.0000  4 Bi 3.15, 4 Cu 3.15
2 Hf 0.0000 0.5000 0.5000  4 Cu 3.15, 4 Bi 3.15
3 Hf 0.5000 0.0000 0.5000  4 Cu 3.15, 4 Bi 3.15
4 Hf 0.5000 0.5000 0.0000  4 Cu 3.15, 4 Bi 3.15
5 Cu 0.2500 0.2500 0.7500  4 Hf 3.15, 4 Bi 3.15
6 Cu 0.2500 0.7500 0.2500  4 Hf 3.15, 4 Bi 3.15
7 Cu 0.7500 0.2500 0.2500  4 Hf 3.15, 4 Bi 3.15
8 Cu 0.7500 0.7500 0.7500  4 Hf 3.15, 4 Bi 3.15
9 Bi 0.0000 0.0000 0.5000  4 Bi 3.15, 4 Cu 3.15
10 Bi 0.0000 0.5000 0.0000  4 Bi 3.15, 4 Cu 3.15
11 Bi 0.2500 0.2500 0.2500  4 Hf 3.15, 4 Bi 3.15
12 Bi 0.2500 0.7500 0.7500  4 Hf 3.15, 4 Bi 3.15
13 Bi 0.5000 0.0000 0.0000  4 Bi 3.15, 4 Cu 3.15
14 Bi 0.5000 0.5000 0.5000  4 Bi 3.15, 4 Cu 3.15
15 Bi 0.7500 0.2500 0.7500  4 Hf 3.15, 4 Bi 3.15
16 Bi 0.7500 0.7500 0.2500  4 Hf 3.15, 4 Bi 3.15

Entry 7:
The following is a DFT calculation (GGA-PBE) of crystalline Hf2CuBi2 at its relaxed geometry.

a = 4.6740 Å, b = 4.6740 Å, c = 12.9938 Å
α = 90.00°, β = 90.00°, γ = 90.00°
Last column: nearest neighbours and their distance in Å.
Fractional positions:
1 Hf 0.0000 0.5000 0.2500  4 Bi 2.92
2 Hf 0.0000 0.5000 0.7500  4 Bi 2.92
3 Hf 0.5000 0.0000 0.2500  4 Bi 2.92
4 Hf 0.5000 0.0000 0.7500  4 Bi 2.92
5 Cu 0.0000 0.0000 0.0000  8 Bi 3.63, 8 Hf 4.00
6 Cu 0.5000 0.5000 0.5000  8 Bi 3.63, 8 Hf 4.00
7 Bi 0.0000 0.0000 0.3841  4 Hf 2.92, 1 Bi 3.01
8 Bi 0.0000 0.0000 0.6159  4 Hf 2.92, 1 Bi 3.01
9 Bi 0.5000 0.5000 0.1159  4 Hf 2.92, 1 Bi 3.01
10 Bi 0.5000 0.5000 0.8841  4 Hf 2.92, 1 Bi 3.01

Entry 8:
The following is a DFT calculation (GGA-PBE) of crystalline Hf2Cu2Bi at its relaxed geometry.

a = 4.3615 Å, b = 4.3615 Å, c = 10.7188 Å
α = 90.00°, β = 90.00°, γ = 90.00°
Last column: nearest neighbours and their distance in Å.
Fractional positions:
1 Hf 0.0000 0.5000 0.2500  4 Cu 2.67
2 Hf 0.0000 0.5000 0.7500  4 Cu 2.67
3 Hf 0.5000 0.0000 0.2500  4 Cu 2.67
4 Hf 0.5000 0.0000 0.7500  4 Cu 2.67
5 Cu 0.0000 0.0000 0.1066  1 Cu 2.29
6 Cu 0.0000 0.0000 0.8934  1 Cu 2.29
7 Cu 0.5000 0.5000 0.3934  1 Cu 2.29
8 Cu 0.5000 0.5000 0.6066  1 Cu 2.29
9 Bi 0.0000 0.0000 0.5000  8 Cu 3.29, 8 Hf 3.45
10 Bi 0.5000 0.5000 0.0000  8 Cu 3.29, 8 Hf 3.45

Entry 9:
The following is a DFT calculation (GGA-PBE) of crystalline Hf2CuBi at its relaxed geometry.

a = 7.0144 Å, b = 7.0144 Å, c = 7.0144 Å
α = 90.00°, β = 90.00°, γ = 90.00°
Last column: nearest neighbours and their distance in Å.
Fractional positions:
1 Hf 0.0000 0.0000 0.0000  4 Hf 3.04, 4 Bi 3.04
2 Hf 0.0000 0.5000 0.5000  4 Hf 3.04, 4 Bi 3.04
3 Hf 0.2500 0.2500 0.2500  4 Hf 3.04, 4 Cu 3.04
4 Hf 0.2500 0.7500 0.7500  4 Hf 3.04, 4 Cu 3.04
5 Hf 0.5000 0.0000 0.5000  4 Hf 3.04, 4 Bi 3.04
6 Hf 0.5000 0.5000 0.0000  4 Hf 3.04, 4 Bi 3.04
7 Hf 0.7500 0.2500 0.7500  4 Hf 3.04, 4 Cu 3.04
8 Hf 0.7500 0.7500 0.2500  4 Hf 3.04, 4 Cu 3.04
9 Cu 0.0000 0.0000 0.5000  4 Bi 3.04, 4 Hf 3.04
10 Cu 0.0000 0.5000 0.0000  4 Bi 3.04, 4 Hf 3.04
11 Cu 0.5000 0.0000 0.0000  4 Bi 3.04, 4 Hf 3.04
12 Cu 0.5000 0.5000 0.5000  4 Bi 3.04, 4 Hf 3.04
13 Bi 0.2500 0.2500 0.7500  4 Hf 3.04, 4 Cu 3.04
14 Bi 0.2500 0.7500 0.2500  4 Hf 3.04, 4 Cu 3.04
15 Bi 0.7500 0.2500 0.2500  4 Hf 3.04, 4 Cu 3.04
16 Bi 0.7500 0.7500 0.7500  4 Cu 3.04, 4 Hf 3.04

Entry 10:
The following is a DFT calculation (GGA-PBE) of crystalline Hf2Cu2Bi at its relaxed geometry.

a = 3.7184 Å, b = 3.7184 Å, c = 14.1411 Å
α = 90.00°, β = 90.00°, γ = 90.00°
Last column: nearest neighbours and their distance in Å.
Fractional positions:
1 Hf 0.0000 0.0000 0.1142  4 Cu 2.67
2 Hf 0.0000 0.0000 0.8858  4 Cu 2.67
3 Hf 0.5000 0.5000 0.3858  4 Cu 2.67
4 Hf 0.5000 0.5000 0.6142  4 Cu 2.67
5 Cu 0.0000 0.5000 0.2500  4 Cu 2.63, 4 Hf 2.67
6 Cu 0.0000 0.5000 0.7500  4 Cu 2.63, 4 Hf 2.67
7 Cu 0.5000 0.0000 0.2500  4 Cu 2.63, 4 Hf 2.67
8 Cu 0.5000 0.0000 0.7500  4 Cu 2.63, 4 Hf 2.67
9 Bi 0.0000 0.0000 0.5000  8 Hf 3.09
10 Bi 0.5000 0.5000 0.0000  8 Hf 3.09

Entry 11:
The following is a DFT calculation (GGA-PBE) of crystalline LuHfCuBi at its relaxed geometry.

a = 7.1325 Å, b = 7.1325 Å, c = 7.1325 Å
α = 90.00°, β = 90.00°, γ = 90.00°
Last column: nearest neighbours and their distance in Å.
Fractional positions:
1 Lu 0.0000 0.0000 0.0000  4 Hf 3.09, 4 Cu 3.09
2 Lu 0.0000 0.5000 0.5000  4 Hf 3.09, 4 Cu 3.09
3 Lu 0.5000 0.0000 0.5000  4 Hf 3.09, 4 Cu 3.09
4 Lu 0.5000 0.5000 0.0000  4 Cu 3.09, 4 Hf 3.09
5 Hf 0.2500 0.2500 0.2500  4 Lu 3.09, 4 Bi 3.09
6 Hf 0.2500 0.7500 0.7500  4 Bi 3.09, 4 Lu 3.09
7 Hf 0.7500 0.2500 0.7500  4 Bi 3.09, 4 Lu 3.09
8 Hf 0.7500 0.7500 0.2500  4 Bi 3.09, 4 Lu 3.09
9 Cu 0.2500 0.2500 0.7500  4 Bi 3.09, 4 Lu 3.09
10 Cu 0.2500 0.7500 0.2500  4 Bi 3.09, 4 Lu 3.09
11 Cu 0.7500 0.2500 0.2500  4 Bi 3.09, 4 Lu 3.09
12 Cu 0.7500 0.7500 0.7500  4 Bi 3.09, 4 Lu 3.09
13 Bi 0.0000 0.0000 0.5000  4 Hf 3.09, 4 Cu 3.09
14 Bi 0.0000 0.5000 0.0000  4 Hf 3.09, 4 Cu 3.09
15 Bi 0.5000 0.0000 0.0000  4 Hf 3.09, 4 Cu 3.09
16 Bi 0.5000 0.5000 0.5000  4 Hf 3.09, 4 Cu 3.09

Entry 12:
The following is a DFT calculation (GGA-PBE) of crystalline Hf4CuBiN2 at its relaxed geometry.

a = 3.2818 Å, b = 3.2818 Å, c = 13.9626 Å
α = 90.00°, β = 90.00°, γ = 120.00°
Last column: nearest neighbours and their distance in Å.
Fractional positions:
1 Hf 0.0000 0.0000 0.1461  3 N 2.25
2 Hf 0.0000 0.0000 0.8539  3 N 2.25
3 Hf 0.3333 0.6667 0.3228  3 N 2.27
4 Hf 0.3333 0.6667 0.6772  3 N 2.27
5 Cu 0.3333 0.6667 0.0000  6 Hf 2.78
6 Bi 0.0000 0.0000 0.5000  6 Hf 3.12, 6 Bi 3.28
7 N 0.6667 0.3333 0.2328  6 Hf 2.25-2.27
8 N 0.6667 0.3333 0.7672  6 Hf 2.25-2.27

Number 1: E -3.656 eV/atom, theoretical density 7.555 Mg/m³. Number 2: E -3.851 eV/atom, theoretical density 8.378 Mg/m³. Number 3: E -3.283 eV/atom, theoretical density 5.987 Mg/m³. Number 4: E -5.119 eV/atom, theoretical density 12.476 Mg/m³. Number 5: E -5.283 eV/atom, theoretical density 12.685 Mg/m³. Number 6: E -5.001 eV/atom, theoretical density 11.342 Mg/m³. Number 7: E -5.780 eV/atom, theoretical density 9.810 Mg/m³. Number 8: E -6.152 eV/atom, theoretical density 11.288 Mg/m³. Number 9: E -6.438 eV/atom, theoretical density 12.115 Mg/m³. Number 10: E -6.094 eV/atom, theoretical density 11.772 Mg/m³. Number 11: E -5.200 eV/atom, theoretical density 11.459 Mg/m³. Number 12: E -8.847 eV/atom, theoretical density 12.935 Mg/m³.